# 1
DFT (PBE) results for a relaxed structure of BaPRhPb.

Cell: 4.276 4.276 11.917 Å, 90.00 90.00 90.00°
Fractional positions:
Ba 0.250 0.250 0.233
Ba 0.750 0.750 0.767
P 0.250 0.250 0.907
P 0.750 0.750 0.093
Rh 0.250 0.750 0.000
Rh 0.750 0.250 0.000
Pb 0.250 0.750 0.500
Pb 0.750 0.250 0.500

Results
* SG: P4/nmm, No. 129
* D(E_F): 8.94 states/eV/cell
* calculated formation energy: -0.63 eV/atom

=====

# 2
DFT (PBE) results for a relaxed structure of BaP2PbS.

Cell: 5.523 5.523 5.651 Å, 90.00 90.00 90.00°
Fractional positions:
Ba 0.000 0.000 0.000
P 0.000 0.500 0.000
P 0.500 0.000 0.000
Pb 0.500 0.500 0.500
S 0.000 0.000 0.500

Results
* SG: P4/mmm, No. 123
* D(E_F): 5.30 states/eV/cell
* energy above the lowest structure with this stoichiometry: 783.2 meV per atom
* uncorrected formation energy: 81.0 kJ/mol of atoms

=====

# 3
DFT (PBE) results for a relaxed structure of BaP2PbS.

Cell: 5.234 5.234 5.417 Å, 90.00 90.00 90.00°
Fractional positions:
Ba 0.000 0.000 0.000
P 0.000 0.500 0.500
P 0.500 0.000 0.500
Pb 0.500 0.500 0.500
S 0.500 0.500 0.000

Results
* SG: P4/mmm, No. 123
* D(E_F): 6.67 states/eV/cell
* energy above the lowest structure with this stoichiometry: 0.0 meV per atom
* uncorrected formation energy: 5.4 kJ/mol of atoms

=====

# 4
DFT (PBE) results for a relaxed structure of BaP2PbSe8.

Cell: 6.388 6.388 9.690 Å, 90.00 90.00 120.00°
Fractional positions:
Ba 0.000 0.000 0.000
P 0.333 0.667 0.756
P 0.667 0.333 0.244
Pb 0.000 0.000 0.500
Se 0.021 0.656 0.304
Se 0.333 0.667 0.982
Se 0.344 0.364 0.304
Se 0.364 0.021 0.696
Se 0.636 0.979 0.304
Se 0.656 0.636 0.696
Se 0.667 0.333 0.018
Se 0.979 0.344 0.696

Results
* SG: P-3, No. 147
* D(E_F): 7.69 states/eV/cell
* uncorrected formation energy: -38.4 kJ/mol of atoms

=====

# 5
DFT (PBE) results for a relaxed structure of Ba2SrPPb.

Cell: 6.213 6.213 5.788 Å, 90.00 90.00 90.00°
Fractional positions:
Ba 0.000 0.500 0.000
Ba 0.500 0.000 0.000
Sr 0.000 0.000 0.500
P 0.000 0.000 0.000
Pb 0.500 0.500 0.500

Results
* SG: P4/mmm, No. 123
* D(E_F): 6.36 states/eV/cell
* calculated formation energy: -0.63 eV/atom

=====

# 6
DFT (PBE) results for a relaxed structure of BaTcPPb.

Cell: 4.296 4.296 11.950 Å, 90.00 90.00 90.00°
Fractional positions:
Ba 0.250 0.250 0.230
Ba 0.750 0.750 0.770
Tc 0.250 0.750 0.000
Tc 0.750 0.250 0.000
P 0.250 0.250 0.913
P 0.750 0.750 0.087
Pb 0.250 0.750 0.500
Pb 0.750 0.250 0.500

Results
* SG: P4/nmm, No. 129
* D(E_F): 7.86 states/eV/cell
* calculated formation energy: -0.53 eV/atom

=====

# 7
DFT (PBE) results for a relaxed structure of BaPPb2W.

Cell: 5.408 5.408 5.932 Å, 90.00 90.00 90.00°
Fractional positions:
Ba 0.000 0.000 0.000
P 0.000 0.000 0.500
Pb 0.000 0.500 0.500
Pb 0.500 0.000 0.500
W 0.500 0.500 0.000

Results
* SG: P4/mmm, No. 123
* D(E_F): 3.14 states/eV/cell
* calculated formation energy: 1.11 eV/atom

=====

# 8
DFT (PBE) results for a relaxed structure of Ba2ZnPPb.

Cell: 8.066 4.522 10.488 Å, 90.00 108.38 90.00°
Fractional positions:
Ba 0.204 0.250 0.393
Ba 0.230 0.250 0.972
Ba 0.770 0.750 0.028
Ba 0.796 0.750 0.607
Zn 0.474 0.750 0.256
Zn 0.526 0.250 0.744
P 0.174 0.750 0.174
P 0.826 0.250 0.826
Pb 0.303 0.750 0.697
Pb 0.697 0.250 0.303

Results
* SG: P2_1/m, No. 11
* D(E_F): 10.61 states/eV/cell
* calculated formation energy: -0.61 eV/atom